1.
# BaBeFe2 PBE optimized geometry
# calculated formation energy: 0.27 eV/atom
data_BaBeFe2
_space_group_name_H-M_alt 'R 3 m'
_space_group_IT_number 160
_space_group_name_Hall 'R 3 -2"'
_cell_length_a 3.9079
_cell_length_b 3.9079
_cell_length_c 17.0342
_cell_angle_alpha 90.00
_cell_angle_beta 90.00
_cell_angle_gamma 120.00
loop_
_atom_site_label
_atom_site_fract_x
_atom_site_fract_y
_atom_site_fract_z
Ba1 0.0000 0.0000 0.0000
Be1 0.0000 0.0000 0.8219
Fe1 0.0000 0.0000 0.1811
Fe2 0.0000 0.0000 0.5045

2.
# BaBe2Fe PBE optimized geometry
# calculated formation energy: 1.18 eV/atom
# polymorph energy (0 for the lowest one): 876 meV per atom
data_BaBe2Fe
_space_group_name_H-M_alt 'I -4 m 2'
_space_group_IT_number 119
_space_group_name_Hall 'I -4 -2'
_cell_length_a 4.780
_cell_length_b 4.780
_cell_length_c 6.722
_cell_angle_alpha 90.00
_cell_angle_beta 90.00
_cell_angle_gamma 90.00
loop_
_atom_site_label
_atom_site_fract_x
_atom_site_fract_y
_atom_site_fract_z
Ba1 0.000 0.000 0.000
Be1 0.000 0.000 0.500
Be2 0.000 0.500 0.250
Fe1 0.000 0.500 0.750

3.
# BaBeFe2 PBE optimized geometry
# calculated formation energy: 0.30 eV/atom
data_BaBeFe2
_space_group_name_H-M_alt 'C 1 2/m 1'
_space_group_IT_number 12
_cell_length_a 6.805
_cell_length_b 3.929
_cell_length_c 6.138
_cell_angle_alpha 90.00
_cell_angle_beta 111.81
_cell_angle_gamma 90.00
loop_
_space_group_symop_operation_xyz
'x,y,z'
'-x,-y,-z'
'-x,y,-z'
'x,-y,z'
'x+1/2,y+1/2,z'
'-x+1/2,-y+1/2,-z'
'-x+1/2,y+1/2,-z'
'x+1/2,-y+1/2,z'
loop_
_atom_site_label
_atom_site_fract_x
_atom_site_fract_y
_atom_site_fract_z
Ba1 0.000 0.000 0.000
Be1 0.000 0.500 0.500
Fe1 0.174 0.000 0.522

4.
# BaBeFe2 PBE optimized geometry
# calculated formation energy: 0.79 eV/atom
data_BaBeFe2
_space_group_name_H-M_alt 'I m m m'
_space_group_IT_number 71
_space_group_name_Hall '-I 2 2'
_cell_length_a 3.965
_cell_length_b 5.954
_cell_length_c 7.522
_cell_angle_alpha 90.00
_cell_angle_beta 90.00
_cell_angle_gamma 90.00
loop_
_atom_site_label
_atom_site_fract_x
_atom_site_fract_y
_atom_site_fract_z
Ba1 0.000 0.000 0.000
Be1 0.000 0.000 0.500
Fe1 0.000 0.500 0.146

5.
# BaBeFe2 PBE optimized geometry
# calculated formation energy: 0.52 eV/atom
data_BaBeFe2
_space_group_name_H-M_alt 'P 1 m 1'
_space_group_IT_number 6
_cell_length_a 3.369
_cell_length_b 3.694
_cell_length_c 6.548
_cell_angle_alpha 90.00
_cell_angle_beta 104.40
_cell_angle_gamma 90.00
loop_
_space_group_symop_operation_xyz
'x,y,z'
'x,-y,z'
loop_
_atom_site_label
_atom_site_fract_x
_atom_site_fract_y
_atom_site_fract_z
Ba1 0.000 0.000 0.000
Be1 0.654 0.500 0.318
Fe1 0.264 0.500 0.545
Fe2 0.743 0.000 0.505

6.
# BaBeFe2 PBE optimized geometry
# calculated formation energy: 1.08 eV/atom
data_BaBeFe2
_space_group_name_H-M_alt 'F -4 3 m'
_space_group_IT_number 216
_space_group_name_Hall 'F -4 2 3'
_cell_length_a 6.772
_cell_length_b 6.772
_cell_length_c 6.772
_cell_angle_alpha 90.00
_cell_angle_beta 90.00
_cell_angle_gamma 90.00
loop_
_atom_site_label
_atom_site_fract_x
_atom_site_fract_y
_atom_site_fract_z
Ba1 0.000 0.000 0.000
Be1 0.250 0.250 0.750
Fe1 0.000 0.000 0.500
Fe2 0.250 0.250 0.250